1.
# Sr2LiP2 (PBE, relaxed)
# **ΔE_f**: -0.7190 eV/atom
# **Polymorph energy (0 for the lowest one)**: 0.00 kcal/mol of atoms
data_Sr2LiP2
_cell_length_a 7.789
_cell_length_b 7.789
_cell_length_c 4.254
_cell_angle_alpha 90.00
_cell_angle_beta 90.00
_cell_angle_gamma 90.00
_space_group_name_H-M_alt 'P 4/m b m'
_space_group_IT_number 127
_space_group_name_Hall '-P 4 2ab'
loop_
_atom_site_label
_atom_site_type_symbol
_atom_site_fract_x
_atom_site_fract_y
_atom_site_fract_z
Sr1 Sr 0.154 0.346 0.000
Li1 Li 0.000 0.000 0.500
P1 P 0.150 0.650 0.500

2.
# SrLiP (PBE, relaxed)
# **ΔE_f**: -0.9793 eV/atom
data_SrLiP
_cell_length_a 4.3860
_cell_length_b 4.3860
_cell_length_c 8.0599
_cell_angle_alpha 90.00
_cell_angle_beta 90.00
_cell_angle_gamma 120.00
_space_group_name_H-M_alt 'P 63/m m c'
_space_group_IT_number 194
_space_group_name_Hall '-P 6c 2c'
loop_
_atom_site_label
_atom_site_type_symbol
_atom_site_fract_x
_atom_site_fract_y
_atom_site_fract_z
Sr1 Sr 0.0000 0.0000 0.0000
Li1 Li 0.3333 0.6667 0.2500
P1 P 0.3333 0.6667 0.7500

3.
# SrLiP (PBE, relaxed)
# **ΔE_f**: -0.5848 eV/atom
data_SrLiP
_cell_length_a 5.902
_cell_length_b 5.914
_cell_length_c 8.220
_cell_angle_alpha 90.00
_cell_angle_beta 90.00
_cell_angle_gamma 90.00
_space_group_name_H-M_alt 'F m m 2'
_space_group_IT_number 42
_space_group_name_Hall 'F 2 -2'
loop_
_atom_site_label
_atom_site_type_symbol
_atom_site_fract_x
_atom_site_fract_y
_atom_site_fract_z
Sr1 Sr 0.000 0.000 0.000
Li1 Li 0.000 0.000 0.666
P1 P 0.000 0.000 0.364

4.
# Sr6Li2P (PBE, relaxed)
# **ΔE_f**: -0.2441 eV/atom
data_Sr6Li2P
_cell_length_a 7.787
_cell_length_b 8.791
_cell_length_c 13.881
_cell_angle_alpha 90.00
_cell_angle_beta 124.01
_cell_angle_gamma 90.00
_space_group_name_H-M_alt 'P 1 21/c 1'
_space_group_IT_number 14
loop_
_space_group_symop_operation_xyz
'x,y,z'
'-x,-y,-z'
'-x,y+1/2,-z+1/2'
'x,-y+1/2,z+1/2'
loop_
_atom_site_label
_atom_site_type_symbol
_atom_site_fract_x
_atom_site_fract_y
_atom_site_fract_z
Sr1 Sr 0.127 0.178 0.449
Sr2 Sr 0.285 0.697 0.446
Sr3 Sr 0.368 0.024 0.252
Li1 Li 0.204 0.099 0.753
P1 P 0.500 0.000 0.500

In the order shown, the computed size of the total moment values come out to 1.9 0.0 0.0 0.0 μB/cell.